Record 1
{
  "formula": "La8AsRh3Br4",
  "functional": "PBE-GGA",
  "state": "relaxed",
  "lattice_angstrom": [[4.2663, 2.4631, 7.7735], [-4.2663, 2.4631, 7.7735], [0.0000, -4.9263, 7.7735]],
  "species": ["La", "La", "La", "La", "La", "La", "La", "La", "As", "Rh", "Rh", "Rh", "Br", "Br", "Br", "Br"],
  "fractional_positions": [[0.2205, 0.7402, 0.7402], [0.2332, 0.2332, 0.2332], [0.2598, 0.2598, 0.7795], [0.2598, 0.7795, 0.2598], [0.7402, 0.2205, 0.7402], [0.7402, 0.7402, 0.2205], [0.7668, 0.7668, 0.7668], [0.7795, 0.2598, 0.2598], [0.5000, 0.5000, 0.5000], [0.0000, 0.0000, 0.5000], [0.0000, 0.5000, 0.0000], [0.5000, 0.0000, 0.0000], [0.0000, 0.0000, 0.0000], [0.0000, 0.5000, 0.5000], [0.5000, 0.0000, 0.5000], [0.5000, 0.5000, 0.0000]]
}

---

Record 2
{
  "formula": "Rb2ThPaTe4",
  "functional": "PBE-GGA",
  "state": "relaxed",
  "lattice_angstrom": [[7.7557, 0.0000, 0.0000], [0.0000, 4.4571, 0.0000], [-2.5615, 0.0000, 8.8254]],
  "species": ["Rb", "Rb", "Th", "Pa", "Te", "Te", "Te", "Te"],
  "fractional_positions": [[0.0000, 0.0000, 0.0000], [0.5000, 0.5000, 0.0000], [0.0000, 0.5000, 0.5000], [0.5000, 0.0000, 0.5000], [0.2401, 0.0000, 0.7099], [0.2671, 0.5000, 0.2920], [0.7329, 0.5000, 0.7080], [0.7599, 0.0000, 0.2901]]
}

---

Record 3
{
  "formula": "NbFeGe2Br",
  "functional": "PBE-GGA",
  "state": "relaxed",
  "lattice_angstrom": [[4.4392, 0.0000, 0.0000], [0.0000, 4.4392, 0.0000], [0.0000, 0.0000, 4.9629]],
  "species": ["Nb", "Fe", "Ge", "Ge", "Br"],
  "fractional_positions": [[0.0000, 0.0000, 0.0000], [0.0000, 0.0000, 0.5000], [0.0000, 0.5000, 0.5000], [0.5000, 0.0000, 0.5000], [0.5000, 0.5000, 0.0000]]
}

---

Record 4
{
  "formula": "SrAuCl2",
  "functional": "PBE-GGA",
  "state": "relaxed",
  "polymorph_energy_mev_per_atom": 56,
  "lattice_angstrom": [[4.3505, 0.0000, 0.0000], [0.0000, 4.3505, 0.0000], [0.0000, 0.0000, 5.5883]],
  "species": ["Sr", "Au", "Cl", "Cl"],
  "fractional_positions": [[0.0000, 0.0000, 0.0000], [0.5000, 0.5000, 0.3073], [0.0000, 0.0000, 0.4970], [0.5000, 0.5000, 0.8211]]
}

---

Record 5
{
  "formula": "LiGa2Co",
  "functional": "PBE-GGA",
  "state": "relaxed",
  "e_form_ev_per_atom": -0.301,
  "lattice_angstrom": [[0.0000, 2.9394, 2.9394], [2.9394, 0.0000, 2.9394], [2.9394, 2.9394, 0.0000]],
  "species": ["Li", "Ga", "Ga", "Co"],
  "fractional_positions": [[0.0000, 0.0000, 0.0000], [0.2500, 0.2500, 0.2500], [0.7500, 0.7500, 0.7500], [0.5000, 0.5000, 0.5000]]
}

---

Record 6
{
  "formula": "Sr2Mg2Pt",
  "functional": "PBE-GGA",
  "state": "relaxed",
  "polymorph_energy_mev_per_atom": 0,
  "e_form_ev_per_atom": -0.431,
  "lattice_angstrom": [[6.2050, -3.3705, 0.0000], [6.2050, 3.3705, 0.0000], [-2.1147, 0.0000, 7.0849]],
  "species": ["Sr", "Sr", "Sr", "Sr", "Mg", "Mg", "Mg", "Mg", "Pt", "Pt"],
  "fractional_positions": [[0.0680, 0.2283, 0.1320], [0.2283, 0.0680, 0.6320], [0.7717, 0.9320, 0.3680], [0.9320, 0.7717, 0.8680], [0.3106, 0.4920, 0.5272], [0.4920, 0.3106, 0.0272], [0.5080, 0.6894, 0.9728], [0.6894, 0.5080, 0.4728], [0.2820, 0.7180, 0.2500], [0.7180, 0.2820, 0.7500]]
}

---

These records have raw total energy values of -5.767, -4.956, -5.537, -3.341, -4.069, -2.950 eV/atom, in the order they appear.